! NaLiPPt2, relaxed, DFT GGA-PBE; values from VASP
! V in Å³/atom: 17.18
! SG: P4/mmm, No. 123
&SYSTEM
  ibrav = 0, nat = 5, ntyp = 4
/
ATOMIC_SPECIES
Na 22.99 Na.upf
Li 6.94 Li.upf
P 30.97 P.upf
Pt 195.08 Pt.upf
ATOMIC_POSITIONS angstrom
Na 0.000 0.000 0.000
Li 0.000 0.000 1.877
P 2.392 2.392 1.877
Pt 0.000 2.392 0.000
Pt 2.392 0.000 0.000
CELL_PARAMETERS angstrom
4.783 0.000 0.000
0.000 4.783 0.000
0.000 0.000 3.754

=====

! NaLiPPt, relaxed, DFT GGA-PBE; values from VASP
! V in Å³/atom: 18.44
! SG: R3m, No. 160
&SYSTEM
  ibrav = 0, nat = 4, ntyp = 4
/
ATOMIC_SPECIES
Na 22.99 Na.upf
Li 6.94 Li.upf
P 30.97 P.upf
Pt 195.08 Pt.upf
ATOMIC_POSITIONS angstrom
Na 0.000 0.000 0.000
Li 0.000 0.000 12.162
P 0.000 0.000 8.234
Pt 0.000 0.000 3.073
CELL_PARAMETERS angstrom
2.045 1.181 5.087
-2.045 1.181 5.087
0.000 -2.362 5.087

=====

! NaLi2P2Pt, relaxed, DFT GGA-PBE; values from VASP
! V in Å³/atom: 19.72
! SG: I4/mmm, No. 139
&SYSTEM
  ibrav = 0, nat = 6, ntyp = 4
/
ATOMIC_SPECIES
Na 22.99 Na.upf
Li 6.94 Li.upf
P 30.97 P.upf
Pt 195.08 Pt.upf
ATOMIC_POSITIONS angstrom
Na 0.000 0.000 0.000
Li 1.833 0.000 4.403
Li 0.000 1.833 4.403
P 0.000 0.000 2.593
P 0.000 0.000 15.018
Pt 0.000 0.000 8.806
CELL_PARAMETERS angstrom
-1.833 1.833 8.806
1.833 -1.833 8.806
1.833 1.833 -8.806

=====

| no. | formation energy from the elements (kJ per mole of atoms) |
| --- | --- |
| 1 | 90.8 |
| 2 | -58.7 |
| 3 | 64.8 |